# 1
Entry from Alexandria via LeMat-Bulk: an optimized crystal structure of Tb3PmSmTh (PBE).

Calculated values
Mass density, kg/m³: 8422
Energy, eV per atom: -4.918
E_form, eV per atom: 0.212
Crystal system: monoclinic
N(E_F), states/eV per cell: 34.40
Total magnetization, μB per formula unit: 0.00

Cell: 20.003 5.640 7.020 Å, 90.00 90.61 90.00°
Space group C2/m (No. 12)
Unique sites:
Tb1 0.022 0.000 0.251 x4
Tb2 0.158 0.500 0.253 x4
Tb3 0.221 0.500 0.753 x4
Pm1 0.146 0.000 0.959 x4
Sm1 0.148 0.000 0.534 x4
Th1 0.055 0.500 0.737 x4



# 2
Entry from Alexandria via LeMat-Bulk: an optimized crystal structure of LiNp4U3N8 (PBE).

Calculated values
Mass density, kg/m³: 13117
Energy, eV per atom: -10.747
Crystal system: trigonal
N(E_F), states/eV per cell: 86.64
Raw formation energy, eV per formula unit: -17.80
Total magnetization, μB per formula unit: 16.20

Cell: 6.8340 6.8340 16.7239 Å, 90.00 90.00 120.00°
Space group R-3m (No. 166, hexagonal axes)
Unique sites:
Li1 0.0000 0.0000 0.0000 x3
Np1 0.0000 0.0000 0.5000 x3
Np2 0.0000 0.5000 0.5000 x9
U1 0.0000 0.5000 0.0000 x9
N1 0.0000 0.0000 0.2521 x6
N2 0.0083 0.5041 0.2513 x18



# 3
Entry from Alexandria via LeMat-Bulk: an optimized crystal structure of Cr4AsPt (PBE).

Calculated values
Mass density, kg/m³: 10099
Energy, eV per atom: -7.908
E_form, eV per atom: 0.290
Crystal system: cubic
N(E_F), states/eV per cell: 26.88
Total magnetization, μB per formula unit: 0.00

Cell: 6.800 6.800 6.800 Å, 90.00 90.00 90.00°
Space group F-43m (No. 216)
Unique sites:
Cr1 0.124 0.124 0.376 x16
As1 0.250 0.250 0.750 x4
Pt1 0.000 0.000 0.000 x4



# 4
Entry from Alexandria via LeMat-Bulk: an optimized crystal structure of CeDy2Tl (PBE).

Calculated values
Mass density, kg/m³: 9660
Energy, eV per atom: -4.515
E_form, eV per atom: -0.139
Crystal system: tetragonal
N(E_F), states/eV per cell: 5.08
Total magnetization, μB per formula unit: 0.36

Cell: 3.575 3.575 9.005 Å, 90.00 90.00 90.00°
Space group P4/mmm (No. 123)
Unique sites:
Ce1 0.000 0.000 0.000 x1
Dy1 0.500 0.500 0.264 x2
Tl1 0.000 0.000 0.500 x1



# 5
Entry from Alexandria via LeMat-Bulk: an optimized crystal structure of Sc6C2NCl3 (PBE).

Calculated values
Mass density, kg/m³: 3628
Energy, eV per atom: -7.188
Crystal system: monoclinic
N(E_F), states/eV per cell: 10.21
Raw formation energy, eV per formula unit: -15.96
Total magnetization, μB per formula unit: 0.00

Cell: 5.887 10.196 6.612 Å, 90.00 107.26 90.00°
Space group C2/m (No. 12)
Unique sites:
Sc1 0.226 0.166 0.179 x8
Sc2 0.227 0.500 0.179 x4
C1 0.000 0.333 0.000 x4
N1 0.000 0.000 0.000 x2
Cl1 0.000 0.167 0.500 x4
Cl2 0.000 0.500 0.500 x2



# 6
Entry from Alexandria via LeMat-Bulk: an optimized crystal structure of LaCd6Hg6 (PBE).

Calculated values
Mass density, kg/m³: 10633
Energy, eV per atom: -1.057
E_form, eV per atom: -0.116
Crystal system: orthorhombic
N(E_F), states/eV per cell: 11.48
Total magnetization, μB per formula unit: 0.00

Cell: 6.244 9.975 10.115 Å, 90.00 90.00 90.00°
Space group Immm (No. 71)
Unique sites:
La1 0.000 0.000 0.000 x2
Cd1 0.000 0.262 0.500 x4
Cd2 0.250 0.250 0.250 x8
Hg1 0.000 0.000 0.340 x4
Hg2 0.000 0.350 0.000 x4
Hg3 0.000 0.500 0.317 x4